(1)
LiAlTe4: relaxed, PBE-GGA. Values from VASP.

The structure in Quantum ESPRESSO input format:
```
&SYSTEM
  ibrav = 0, nat = 6, ntyp = 3
/
ATOMIC_SPECIES
Li 6.94 Li.upf
Al 26.98 Al.upf
Te 127.60 Te.upf
ATOMIC_POSITIONS crystal
Li 0.0000 0.0000 0.0000
Al 0.7500 0.7500 0.7500
Te 0.8747 0.3751 0.3751
Te 0.3751 0.3751 0.8747
Te 0.3751 0.8747 0.3751
Te 0.3751 0.3751 0.3751
CELL_PARAMETERS angstrom
0.0000 4.5645 4.5645
4.5645 0.0000 4.5645
4.5645 4.5645 0.0000
```

Values from the calculation:
- Formation energy from raw total energies: 0.232 eV per atom
- Theoretical density: 4.75 g cm⁻³
- Total energy: -16.8 eV for the cell shown


(2)
LaYH2: relaxed, PBE-GGA. Values from VASP.

The structure in Quantum ESPRESSO input format:
```
&SYSTEM
  ibrav = 0, nat = 4, ntyp = 3
/
ATOMIC_SPECIES
La 138.91 La.upf
Y 88.91 Y.upf
H 1.01 H.upf
ATOMIC_POSITIONS crystal
La 0.4923 0.4923 0.5232
Y 0.6682 0.6682 0.9955
H 0.0685 0.0685 0.7946
H 0.2711 0.2711 0.1867
CELL_PARAMETERS angstrom
-2.8745 1.8335 1.0097
-3.2497 -1.2375 -0.7432
-2.1050 -2.8460 5.4367
```

Values from the calculation:
- Polymorph energy (0 for the lowest one): 81 meV per atom
- Theoretical density: 5.66 g cm⁻³
- Total energy: -19.3 eV for the cell shown


(3)
SmScIrPt: relaxed, PBE-GGA. Values from VASP.

The structure in Quantum ESPRESSO input format:
```
&SYSTEM
  ibrav = 0, nat = 4, ntyp = 4
/
ATOMIC_SPECIES
Sc 44.96 Sc.upf
Ir 192.22 Ir.upf
Sm 150.36 Sm.upf
Pt 195.08 Pt.upf
ATOMIC_POSITIONS crystal
Sc 0.5000 0.5000 0.5000
Ir 0.2500 0.2500 0.2500
Sm 0.0000 0.0000 0.0000
Pt 0.7500 0.7500 0.7500
CELL_PARAMETERS angstrom
4.8231 0.0000 0.0000
2.4116 4.1769 0.0000
2.4116 1.3923 3.9381
```

Values from the calculation:
- Theoretical density: 12.19 g cm⁻³
- Total energy: -29.6 eV for the cell shown
- Energy of formation from the pure elements: -0.919 eV per atom


(4)
Pr2NdY: relaxed, PBE-GGA. Values from VASP.

The structure in Quantum ESPRESSO input format:
```
&SYSTEM
  ibrav = 0, nat = 4, ntyp = 3
/
ATOMIC_SPECIES
Pr 140.91 Pr.upf
Y 88.91 Y.upf
Nd 144.24 Nd.upf
ATOMIC_POSITIONS crystal
Pr 0.2500 0.2500 0.2500
Pr 0.7500 0.7500 0.7500
Y 0.5000 0.5000 0.5000
Nd 0.0000 0.0000 0.0000
CELL_PARAMETERS angstrom
5.8344 0.0000 0.0000
2.9172 5.0527 0.0000
2.9172 1.6842 4.7637
```

Values from the calculation:
- Polymorph energy (0 for the lowest one): 106 meV per atom
- Theoretical density: 6.09 g cm⁻³
- Total energy: -20.3 eV for the cell shown
- Energy of formation from the pure elements: 0.118 eV per atom